[1]
This record from Alexandria via LeMat-Bulk describes a relaxed structure of Cs2RbAuF6. The functional is PBE-GGA.

a b c (Å): 9.6472 9.6472 9.6472
angles (deg): 90.00 90.00 90.00
Last column: nearest neighbours and their distance in Å.
Space group Fm-3m (No. 225)
Asymmetric unit:
Cs  0.2500  0.2500  0.2500 (multiplicity 8)  12 F 3.42
Rb  0.0000  0.0000  0.0000 (multiplicity 4)  6 F 2.67
Au  0.0000  0.0000  0.5000 (multiplicity 4)  6 F 2.16
F  0.0000  0.0000  0.2765 (multiplicity 24)  1 Au 2.16

Output
formation energy from raw total energies = -2.086 eV per atom

=====

[2]
This record from Alexandria via LeMat-Bulk describes a relaxed structure of PrGd2. The functional is PBE-GGA.

a b c (Å): 9.4784 9.4784 9.4784
angles (deg): 90.00 90.00 90.00
Last column: nearest neighbours and their distance in Å.
Space group Fd-3m (No. 227, origin choice 2)
Asymmetric unit:
Pr  0.1250  0.1250  0.1250 (multiplicity 8)  12 Gd 3.93, 4 Pr 4.10
Gd  0.0000  0.0000  0.5000 (multiplicity 16)  6 Gd 3.35

Output
DOS(E_F) = 69.44 states/eV/cell
formation enthalpy at 0 K = 0.741 eV per formula unit

=====

no.,mass density (g/cm³)
1,4.90
2,7.10